# 1
Material: ZrAg2Br
Method: DFT, PBE
State: optimized geometry

Unit cell a=6.0628 b=6.0628 c=6.0628 alpha=142.08 beta=142.08 gamma=54.70
Positions (direct):
Ag  0.5000  0.5000  0.0000
Br  0.2500  0.7500  0.5000
Zr  0.7500  0.2500  0.5000
Ag  0.0000  0.0000  0.0000

Total moment in μB/cell: 0.000
SG: No. 139
Calculated total energy in eV/cell: -15.47
Energy above the most stable polymorph in this dataset in meV/atom: 328.8
Raw formation energy in eV per formula unit: 0.5


# 2
Material: ZrAgBr2
Method: DFT, PBE
State: optimized geometry

Unit cell a=4.9842 b=4.9842 c=4.9842 alpha=60.00 beta=60.00 gamma=60.00
Positions (direct):
Br  0.7500  0.7500  0.7500
Ag  0.5000  0.5000  0.5000
Zr  0.0000  0.0000  0.0000
Br  0.2500  0.2500  0.2500

Total moment in μB/cell: 1.087
SG: No. 225
Calculated total energy in eV/cell: -15.13
Energy above the most stable polymorph in this dataset in meV/atom: 509.2
Raw formation energy in eV per formula unit: -0.4


# 3
Material: ZrAg2Br
Method: DFT, PBE
State: optimized geometry

Unit cell a=3.2857 b=3.2857 c=7.9595 alpha=90.00 beta=90.00 gamma=89.56
Positions (direct):
Br  0.5000  0.5000  0.2500
Zr  0.5000  0.5000  0.7500
Ag  0.0000  0.0000  0.5030
Ag  0.0000  0.0000  0.9970

Total moment in μB/cell: 0.356
SG: No. 65
Calculated total energy in eV/cell: -15.96
Energy above the most stable polymorph in this dataset in meV/atom: 206.1
Raw formation energy in eV per formula unit: 0.0


# 4
Material: ZrAg2Br
Method: DFT, PBE
State: optimized geometry

Unit cell a=4.9651 b=4.9651 c=4.9651 alpha=60.00 beta=60.00 gamma=60.00
Positions (direct):
Ag  0.2500  0.2500  0.2500
Zr  0.5000  0.5000  0.5000
Ag  0.7500  0.7500  0.7500
Br  0.0000  0.0000  0.0000

Total moment in μB/cell: 0.000
SG: No. 225
Calculated total energy in eV/cell: -14.25
Energy above the most stable polymorph in this dataset in meV/atom: 633.9
Raw formation energy in eV per formula unit: 1.7


# 5
Material: ZrAgBr2
Method: DFT, PBE
State: optimized geometry

Unit cell a=5.2445 b=5.2445 c=5.2445 alpha=128.44 beta=128.44 gamma=75.91
Positions (direct):
Br  0.0000  0.0000  0.0000
Br  0.5000  0.5000  0.0000
Ag  0.7500  0.2500  0.5000
Zr  0.2500  0.7500  0.5000

Total moment in μB/cell: 0.000
SG: No. 139
Calculated total energy in eV/cell: -15.32
Energy above the most stable polymorph in this dataset in meV/atom: 461.9
Raw formation energy in eV per formula unit: -0.6


# 6
Material: Zr2AgBr
Method: DFT, PBE
State: optimized geometry

Unit cell a=3.3715 b=5.4990 c=4.7607 alpha=90.00 beta=90.00 gamma=90.00
Positions (direct):
Zr  0.0000  0.0000  0.0000
Zr  0.5000  0.5000  0.0000
Ag  0.5000  0.0000  0.5000
Br  0.0000  0.5000  0.5000

Total moment in μB/cell: 0.000
SG: No. 47
Calculated total energy in eV/cell: -21.15
Energy above the most stable polymorph in this dataset in meV/atom: 402.6
Raw formation energy in eV per formula unit: 0.5


# 7
Material: Zr4AgBr
Method: DFT, PBE
State: optimized geometry

Unit cell a=5.8345 b=5.8345 c=5.8345 alpha=60.00 beta=60.00 gamma=60.00
Positions (direct):
Zr  0.3772  0.8683  0.3772
Br  0.0000  0.0000  0.0000
Zr  0.8683  0.3772  0.3772
Zr  0.3772  0.3772  0.3772
Ag  0.7500  0.7500  0.7500
Zr  0.3772  0.3772  0.8683

Total moment in μB/cell: 0.000
SG: No. 216
Calculated total energy in eV/cell: -35.69
Raw formation energy in eV per formula unit: 3.0


# 8
Material: ZrAg2Br
Method: DFT, PBE
State: optimized geometry

Unit cell a=3.2317 b=4.7012 c=5.4441 alpha=90.00 beta=90.00 gamma=90.00
Positions (direct):
Ag  0.5000  0.5000  0.0000
Ag  0.0000  0.0000  0.0000
Br  0.5000  0.0000  0.5000
Zr  0.0000  0.5000  0.5000

Total moment in μB/cell: 0.000
SG: No. 47
Calculated total energy in eV/cell: -15.73
Energy above the most stable polymorph in this dataset in meV/atom: 262.9
Raw formation energy in eV per formula unit: 0.2


# 9
Material: ZrAgBr2
Method: DFT, PBE
State: optimized geometry

Unit cell a=11.0708 b=11.0708 c=11.0708 alpha=17.62 beta=17.62 gamma=17.62
Positions (direct):
Br  0.1069  0.1069  0.1069
Ag  0.0000  0.0000  0.0000
Zr  0.5000  0.5000  0.5000
Br  0.8931  0.8931  0.8931

Total moment in μB/cell: 0.000
SG: No. 166
Calculated total energy in eV/cell: -17.13
Energy above the most stable polymorph in this dataset in meV/atom: 10.1
Raw formation energy in eV per formula unit: -2.4


# 10
Material: ZrAgBr2
Method: DFT, PBE
State: optimized geometry

Unit cell a=6.3082 b=6.3082 c=6.3082 alpha=143.06 beta=143.06 gamma=53.24
Positions (direct):
Br  0.2500  0.7500  0.5000
Br  0.0000  0.0000  0.0000
Zr  0.5000  0.5000  0.0000
Ag  0.7500  0.2500  0.5000

Total moment in μB/cell: 0.170
SG: No. 119
Calculated total energy in eV/cell: -14.77
Energy above the most stable polymorph in this dataset in meV/atom: 598.4
Raw formation energy in eV per formula unit: 0.0


# 11
Material: ZrAg2Br
Method: DFT, PBE
State: optimized geometry

Unit cell a=6.3651 b=6.3651 c=6.3651 alpha=151.25 beta=136.14 gamma=53.29
Positions (direct):
Br  0.2500  0.7500  0.5000
Zr  0.7500  0.2500  0.5000
Ag  0.5216  0.5216  0.0000
Ag  0.9784  0.9784  0.0000

Total moment in μB/cell: 0.000
SG: No. 71
Calculated total energy in eV/cell: -16.02
Energy above the most stable polymorph in this dataset in meV/atom: 190.7
Raw formation energy in eV per formula unit: -0.1


# 12
Material: ZrAg2Br
Method: DFT, PBE
State: optimized geometry

Unit cell a=5.0123 b=5.0123 c=5.6719 alpha=77.38 beta=77.38 gamma=37.65
Positions (direct):
Br  0.5069  0.5069  0.4496
Ag  0.9989  0.9989  0.9650
Zr  0.2475  0.2475  0.2861
Ag  0.7467  0.7467  0.7994

Total moment in μB/cell: 0.000
SG: No. 8
Calculated total energy in eV/cell: -16.08
Energy above the most stable polymorph in this dataset in meV/atom: 175.1
Raw formation energy in eV per formula unit: -0.2